DFT (PBE with a Hubbard U) results for a relaxed structure of Mn2VFe3P6O24.

abc: 8.6059 8.6059 8.6059
angles: 59.95 59.95 59.95
With the nearest neighbours (Å) after each atom.
Fractional coordinates of all 36 atoms:
Fe: 0.8557 0.8557 0.8557  6 O 1.91-2.02
O: 0.9200 0.2604 0.0669  1 P 1.60
P: 0.7522 0.4608 0.0408  4 O 1.52-1.60
O: 0.5894 0.4395 0.2355  1 P 1.55
O: 0.0669 0.9200 0.2604  1 P 1.60
O: 0.3760 0.0119 0.1831  1 P 1.59
O: 0.7041 0.4851 0.8799  1 P 1.53
P: 0.9566 0.2497 0.5442  4 O 1.51-1.59
O: 0.4395 0.2355 0.5894  1 P 1.55
O: 0.0119 0.1831 0.3760  1 P 1.59
O: 0.1831 0.3760 0.0119  1 P 1.59
O: 0.5455 0.7648 0.4130  1 P 1.54
O: 0.4851 0.8799 0.7041  1 P 1.53
P: 0.5442 0.9566 0.2497  4 O 1.51-1.59
P: 0.2497 0.5442 0.9566  4 O 1.51-1.59
O: 0.4130 0.5455 0.7648  1 P 1.54
Mn: 0.9982 0.9982 0.9982  6 O 2.23-2.30
P: 0.0408 0.7522 0.4608  4 O 1.52-1.60
O: 0.2604 0.0669 0.9200  1 P 1.60
O: 0.6166 0.0046 0.8135  1 P 1.52
Fe: 0.6445 0.6445 0.6445  6 O 1.95-2.13
O: 0.8799 0.7041 0.4851  1 P 1.53
O: 0.7367 0.9378 0.0847  1 P 1.55
O: 0.0847 0.7367 0.9378  1 P 1.55
O: 0.0046 0.8135 0.6166  1 P 1.52
O: 0.3097 0.5061 0.1137  1 P 1.51
P: 0.4608 0.0408 0.7522  4 O 1.52-1.60
V: 0.1448 0.1448 0.1448  6 O 1.84-1.97
O: 0.9378 0.0847 0.7367  1 P 1.55
O: 0.8135 0.6166 0.0046  1 P 1.52
O: 0.2355 0.5894 0.4395  1 P 1.55
Mn: 0.4982 0.4982 0.4982  6 O 2.22-2.23
Fe: 0.3556 0.3556 0.3556  6 O 1.94-2.06
O: 0.1137 0.3097 0.5061  1 P 1.51
O: 0.7648 0.4130 0.5455  1 P 1.54
O: 0.5061 0.1137 0.3097  1 P 1.51

Properties
symmetry	No. 146
V	450.2	Å³ per cell
electronic total energy	-7.25	eV per atom
size of the total moment	0.58	μB per atom